No. 1
Computed, not measured: a relaxed Ag2TeO6 crystal at the PBE-GGA level of DFT.

Computed properties:
- energy relative to the lowest polymorph listed for this composition (meV/atom) = 0
- total magnetic moment (μB per cell) = 0.0

a b c (Å): 8.6757 8.6757 6.2001
angles (deg): 83.53 83.53 143.57
Last column: nearest neighbours and their distance in Å.
Atoms (fractional coordinates):
O  0.9738  0.0054  0.5279  1 Te 1.96, 1 Ag 2.01
O  0.0054  0.9738  0.0279  1 Te 1.96, 1 Ag 2.01
O  0.4587  0.9098  0.5029  1 Te 1.97, 1 Ag 2.05
O  0.6538  0.8434  0.2735  2 Ag 2.08-2.09, 1 Te 2.09
O  0.0758  0.7105  0.3138  1 Te 1.94, 1 Ag 2.07
O  0.8434  0.6538  0.7735  2 Ag 2.08-2.09, 1 Te 2.09
O  0.3420  0.0337  0.8940  1 Te 2.00, 1 Ag 2.02
O  0.9098  0.4587  0.0029  1 Te 1.97, 1 Ag 2.05
O  0.0337  0.3420  0.3940  1 Te 2.00, 1 Ag 2.02
O  0.7105  0.0758  0.8138  1 Te 1.94, 1 Ag 2.07
O  0.4154  0.5674  0.7806  1 Te 1.92, 1 Ag 2.10
O  0.5674  0.4154  0.2806  1 Te 1.92, 1 Ag 2.10
Ag  0.5177  0.9434  0.1609  3 O 2.05-2.08
Ag  0.9434  0.5177  0.6609  3 O 2.05-2.08
Ag  0.4158  0.3254  0.8567  4 O 2.01-2.10
Ag  0.3254  0.4158  0.3567  4 O 2.01-2.10
Te  0.6946  0.9383  0.5771  6 O 1.92-2.09
Te  0.9383  0.6946  0.0771  6 O 1.92-2.09


No. 2
Computed, not measured: a relaxed CrHRu2W crystal at the PBE-GGA level of DFT.

Computed properties:
- energy relative to the lowest polymorph listed for this composition (meV/atom) = 84
- total magnetic moment (μB per cell) = 0.0

a b c (Å): 3.8621 3.8621 3.9178
angles (deg): 90.00 90.00 90.00
Last column: nearest neighbours and their distance in Å.
Atoms (fractional coordinates):
W  0.0000  0.0000  0.5000  2 H 1.96
Cr  0.5000  0.5000  0.5000  4 W 2.73, 8 Ru 2.75
H  0.0000  0.0000  0.0000  4 Ru 1.93, 2 W 1.96
Ru  0.0000  0.5000  0.0000  2 H 1.93
Ru  0.5000  0.0000  0.0000  2 H 1.93


No. 3
Computed, not measured: a relaxed MgZr2Mo crystal at the PBE-GGA level of DFT.

Computed properties:
- energy relative to the lowest polymorph listed for this composition (meV/atom) = 98
- calculated formation energy (eV per atom) = 0.0765
- total magnetic moment (μB per cell) = 0.0

a b c (Å): 4.7260 4.7259 3.5635
angles (deg): 90.00 90.00 89.97
Last column: nearest neighbours and their distance in Å.
Atoms (fractional coordinates):
Zr  0.0000  0.0000  0.0000  4 Mo 2.96, 4 Mg 2.96
Zr  0.5000  0.5000  0.0000  4 Mg 2.96, 4 Mo 2.96
Mg  0.5000  0.0000  0.5000  8 Zr 2.96
Mo  0.0000  0.5000  0.5000  8 Zr 2.96


No. 4
Computed, not measured: a relaxed BeAlTe2As crystal at the PBE-GGA level of DFT.

Computed properties:
- VASP energy (Ry/atom) = -0.241
- total magnetic moment (μB per cell) = 0.0

a b c (Å): 5.2376 4.2448 5.2376
angles (deg): 90.00 90.00 90.00
Last column: nearest neighbours and their distance in Å.
Atoms (fractional coordinates):
Te  0.5000  0.0000  0.0000  2 Be 2.62
Te  0.0000  0.0000  0.5000  2 Be 2.62
Be  0.0000  0.0000  0.0000  2 As 2.12
As  0.0000  0.5000  0.0000  2 Be 2.12
Al  0.5000  0.5000  0.5000  8 Te 3.37, 4 As 3.70


No. 5
Computed, not measured: a relaxed La2DyGe3Ir4 crystal at the PBE-GGA level of DFT.

Computed properties:
- calculated formation energy (eV per atom) = -0.8176
- total magnetic moment (μB per cell) = 0.0

a b c (Å): 4.2349 4.2349 11.2886
angles (deg): 90.00 90.00 90.00
Last column: nearest neighbours and their distance in Å.
Atoms (fractional coordinates):
Ge  0.5000  0.0000  0.8800  5 Ir 2.49-2.51
Ge  0.0000  0.0000  0.5000  4 Ir 2.78, 4 Dy 2.99
Ge  0.0000  0.5000  0.1200  5 Ir 2.49-2.51
Ir  0.0000  0.5000  0.3408  3 Ge 2.49-2.78, 2 Dy 2.78
Ir  0.5000  0.5000  0.0000  4 Ge 2.51
Ir  0.5000  0.0000  0.6592  3 Ge 2.49-2.78, 2 Dy 2.78
Ir  0.0000  0.0000  0.0000  4 Ge 2.51
La  0.0000  0.5000  0.7666  8 Ir 3.23-3.38, 4 Ge 3.26
La  0.5000  0.0000  0.2334  8 Ir 3.23-3.38, 4 Ge 3.26
Dy  0.5000  0.5000  0.5000  4 Ir 2.78, 4 Ge 2.99


No. 6
Computed, not measured: a relaxed Ac3Ga3Ni8 crystal at the PBE-GGA level of DFT.

Computed properties:
- calculated formation energy (eV per atom) = -0.3467
- total magnetic moment (μB per cell) = 0.0

a b c (Å): 4.1313 8.2076 8.2076
angles (deg): 73.08 75.42 75.42
Last column: nearest neighbours and their distance in Å.
Atoms (fractional coordinates):
Ni  0.1963  0.0979  0.5094  5 Ni 2.48-2.61, 1 Ga 2.53
Ni  0.8037  0.4906  0.9021  5 Ni 2.48-2.61, 1 Ga 2.53
Ni  0.6055  0.6808  0.1082  3 Ga 2.46-2.47, 4 Ni 2.48-2.64
Ni  0.3945  0.3192  0.8918  3 Ga 2.46-2.47, 4 Ni 2.48-2.64
Ni  0.6055  0.1082  0.6808  3 Ga 2.46-2.47, 4 Ni 2.48-2.64
Ni  0.1963  0.5094  0.0979  5 Ni 2.48-2.61, 1 Ga 2.53
Ni  0.8037  0.9021  0.4906  5 Ni 2.48-2.61, 1 Ga 2.53
Ni  0.3945  0.8918  0.3192  3 Ga 2.46-2.47, 4 Ni 2.48-2.64
Ga  0.0000  0.7677  0.2323  6 Ni 2.46-2.53
Ga  0.0000  0.2323  0.7677  6 Ni 2.46-2.53
Ga  0.5000  0.0000  0.0000  4 Ni 2.47
Ac  0.7914  0.2086  0.2086  10 Ni 2.88-3.21
Ac  0.5000  0.5000  0.5000  4 Ni 3.09, 4 Ga 3.33
Ac  0.2086  0.7914  0.7914  10 Ni 2.88-3.21


No. 7
Computed, not measured: a relaxed KLi2P crystal at the PBE-GGA level of DFT.

Computed properties:
- calculated formation energy (eV per atom) = -0.1407
- total magnetic moment (μB per cell) = 0.0

a b c (Å): 3.5247 3.5247 8.1277
angles (deg): 90.00 90.00 90.18
Last column: nearest neighbours and their distance in Å.
Atoms (fractional coordinates):
Li  0.0000  0.0000  0.0998  1 P 2.46
Li  0.5000  0.5000  0.3127  4 P 2.59-2.60
P  0.0000  0.0000  0.4023  5 Li 2.46-2.60
K  0.5000  0.5000  0.6852  1 Li 3.03, 2 P 3.39


No. 8
Computed, not measured: a relaxed NaAl4Tl crystal at the PBE-GGA level of DFT.

Computed properties:
- calculated formation energy (eV per atom) = 0.1199
- total magnetic moment (μB per cell) = 0.0

a b c (Å): 5.6652 5.6652 5.6652
angles (deg): 60.00 60.00 60.00
Last column: nearest neighbours and their distance in Å.
Atoms (fractional coordinates):
Al  0.6258  0.6258  0.1227  6 Al 2.82-2.85
Al  0.6258  0.6258  0.6258  6 Al 2.82-2.85
Al  0.1227  0.6258  0.6258  6 Al 2.82-2.85
Al  0.6258  0.1227  0.6258  6 Al 2.82-2.85
Na  0.0000  0.0000  0.0000  12 Al 3.32, 4 Tl 3.47
Tl  0.2500  0.2500  0.2500  12 Al 3.32, 4 Na 3.47


No. 9
Computed, not measured: a relaxed AcLuAs2 crystal at the PBE-GGA level of DFT.

Computed properties:
- energy relative to the lowest polymorph listed for this composition (meV/atom) = 508
- calculated formation energy (eV per atom) = -0.4927
- total magnetic moment (μB per cell) = 0.3

a b c (Å): 4.2443 4.2443 9.0889
angles (deg): 76.50 76.50 60.00
Last column: nearest neighbours and their distance in Å.
Atoms (fractional coordinates):
Lu  0.5000  0.5000  0.5000  6 As 2.83
Ac  0.0000  0.0000  0.0000  2 As 2.97
As  0.1130  0.1130  0.6610  3 Lu 2.83, 1 Ac 2.97
As  0.8870  0.8870  0.3390  3 Lu 2.83, 1 Ac 2.97


No. 10
Computed, not measured: a relaxed CaSmBi2 crystal at the PBE-GGA level of DFT.

Computed properties:
- energy relative to the lowest polymorph listed for this composition (meV/atom) = 0
- calculated formation energy (eV per atom) = -0.7584
- total magnetic moment (μB per cell) = 0.0

a b c (Å): 4.4621 4.4621 8.3241
angles (deg): 90.15 105.47 119.83
Last column: nearest neighbours and their distance in Å.
Atoms (fractional coordinates):
Sm  0.0000  0.0000  0.0000  6 Bi 3.22
Ca  0.0000  0.5000  0.5000  6 Bi 3.28
Bi  0.4963  0.7483  0.2445  3 Sm 3.22, 3 Ca 3.28
Bi  0.5037  0.2517  0.7555  3 Sm 3.22, 3 Ca 3.28


No. 11
Computed, not measured: a relaxed NbHgTe2 crystal at the PBE-GGA level of DFT.

Computed properties:
- energy relative to the lowest polymorph listed for this composition (meV/atom) = 290
- total magnetic moment (μB per cell) = 0.0

a b c (Å): 12.4996 5.8821 5.8821
angles (deg): 79.74 124.10 55.90
Last column: nearest neighbours and their distance in Å.
Atoms (fractional coordinates):
Nb  0.2852  0.4634  0.6841  4 Te 2.81-2.92, 2 Hg 2.95-3.08
Nb  0.7852  0.8159  0.0366  4 Te 2.81-2.92, 2 Hg 2.95-3.08
Te  0.3334  0.4931  0.2693  2 Nb 2.81-2.82, 1 Hg 3.10
Te  0.2012  0.1306  0.4476  2 Nb 2.84-2.92, 2 Hg 2.90-3.03
Te  0.7012  0.0524  0.3694  2 Nb 2.84-2.92, 2 Hg 2.90-3.03
Te  0.8334  0.2307  0.0069  2 Nb 2.81-2.82, 1 Hg 3.10
Hg  0.1974  0.2056  0.9409  4 Te 2.90-3.19, 2 Nb 2.95-3.08
Hg  0.6974  0.5591  0.2944  4 Te 2.90-3.19, 2 Nb 2.95-3.08


No. 12
Computed, not measured: a relaxed TlSb2Br crystal at the PBE-GGA level of DFT.

Computed properties:
- energy relative to the lowest polymorph listed for this composition (meV/atom) = 525
- total magnetic moment (μB per cell) = 0.0

a b c (Å): 5.6699 5.6699 3.5116
angles (deg): 90.00 90.00 90.00
Last column: nearest neighbours and their distance in Å.
Atoms (fractional coordinates):
Tl  0.5000  0.0000  0.5000  8 Sb 3.33, 2 Tl 3.51
Sb  0.0000  0.0000  0.0000  4 Tl 3.33, 4 Br 3.33, 2 Sb 3.51
Sb  0.5000  0.5000  0.0000  4 Tl 3.33, 4 Br 3.33, 2 Sb 3.51
Br  0.0000  0.5000  0.5000  8 Sb 3.33, 2 Br 3.51


No. 13
Computed, not measured: a relaxed Sm4Ag2HgRh crystal at the PBE-GGA level of DFT.

Computed properties:
- calculated formation energy (eV per atom) = -0.4567
- total magnetic moment (μB per cell) = 0.0

a b c (Å): 5.2210 5.2210 8.9281
angles (deg): 73.00 73.00 60.00
Last column: nearest neighbours and their distance in Å.
Atoms (fractional coordinates):
Rh  0.5000  0.5000  0.5000  8 Sm 2.93-3.14
Ag  0.2573  0.2573  0.2280  8 Sm 3.08-3.32
Ag  0.7427  0.7427  0.7720  8 Sm 3.08-3.32
Hg  0.0000  0.0000  0.0000  8 Sm 3.27-3.31, 6 Ag 3.57
Sm  0.1314  0.1314  0.6059  3 Rh 3.14, 4 Ag 3.18-3.32, 1 Hg 3.31, 3 Sm 3.50
Sm  0.8686  0.8686  0.3941  3 Rh 3.14, 4 Ag 3.18-3.32, 1 Hg 3.31, 3 Sm 3.50
Sm  0.6163  0.6163  0.1512  1 Rh 2.93, 4 Ag 3.08-3.19, 3 Hg 3.27
Sm  0.3837  0.3837  0.8488  1 Rh 2.93, 4 Ag 3.08-3.19, 3 Hg 3.27


No. 14
Computed, not measured: a relaxed ScHgSb crystal at the PBE-GGA level of DFT.

Computed properties:
- energy relative to the lowest polymorph listed for this composition (meV/atom) = 232
- total magnetic moment (μB per cell) = 0.0

a b c (Å): 3.3866 3.3866 7.5017
angles (deg): 90.00 90.00 120.00
Last column: nearest neighbours and their distance in Å.
Atoms (fractional coordinates):
Sb  0.6667  0.3333  0.3558  3 Sc 3.05, 6 Sb 3.39
Sc  0.3333  0.6667  0.6683  3 Hg 3.02, 3 Sb 3.05, 6 Sc 3.39
Hg  0.0000  0.0000  0.9759  3 Sc 3.02, 6 Hg 3.39


No. 15
Computed, not measured: a relaxed HfRhPb3 crystal at the PBE-GGA level of DFT.

Computed properties:
- energy relative to the lowest polymorph listed for this composition (meV/atom) = 0
- calculated formation energy (eV per atom) = 0.6293
- total magnetic moment (μB per cell) = 0.8

a b c (Å): 5.2395 5.2395 5.2395
angles (deg): 90.00 90.00 90.00
Last column: nearest neighbours and their distance in Å.
Atoms (fractional coordinates):
Rh  0.0000  0.0000  0.0000  6 Pb 2.62
Pb  0.0000  0.0000  0.5000  2 Rh 2.62
Pb  0.0000  0.5000  0.0000  2 Rh 2.62
Pb  0.5000  0.0000  0.0000  2 Rh 2.62
Hf  0.5000  0.5000  0.5000  12 Pb 3.70


No. 16
Computed, not measured: a relaxed Pm4Te2CS crystal at the PBE-GGA level of DFT.

Computed properties:
- VASP energy (Ry/atom) = -0.450
- total magnetic moment (μB per cell) = 0.0

a b c (Å): 4.0656 7.1119 7.5519
angles (deg): 108.02 90.00 90.00
Last column: nearest neighbours and their distance in Å.
Atoms (fractional coordinates):
S  0.0000  0.0000  0.0000  6 Pm 2.84-2.87
Te  0.0000  0.5000  0.5000  6 Pm 3.11-3.13
Te  0.5000  0.0000  0.5000  6 Pm 3.26-3.32
Pm  0.0000  0.7132  0.1974  2 C 2.69, 1 S 2.87
Pm  0.5000  0.7417  0.7987  1 C 2.62, 2 S 2.84
Pm  0.5000  0.2583  0.2013  1 C 2.62, 2 S 2.84
Pm  0.0000  0.2868  0.8026  2 C 2.69, 1 S 2.87
C  0.5000  0.5000  0.0000  6 Pm 2.62-2.69


No. 17
Computed, not measured: a relaxed Ni2TeAs crystal at the PBE-GGA level of DFT.

Computed properties:
- VASP energy (Ry/atom) = -0.356
- total magnetic moment (μB per cell) = 0.0

a b c (Å): 6.4437 6.4437 6.4437
angles (deg): 147.53 152.09 43.34
Last column: nearest neighbours and their distance in Å.
Atoms (fractional coordinates):
Ni  0.7606  0.2606  0.5000  4 As 2.46, 2 Ni 2.71
Ni  0.0747  0.0747  0.0000  2 As 2.42
As  0.2097  0.7097  0.5000  6 Ni 2.42-2.46
Te  0.4550  0.4550  0.0000  6 Ni 2.78-2.80, 2 Te 3.11


No. 18
Computed, not measured: a relaxed PaCdF2 crystal at the PBE-GGA level of DFT.

Computed properties:
- VASP energy (Ry/atom) = -0.407
- total magnetic moment (μB per cell) = 0.0

a b c (Å): 3.1645 3.1645 9.5391
angles (deg): 80.45 80.45 60.00
Last column: nearest neighbours and their distance in Å.
Atoms (fractional coordinates):
F  0.1072  0.1072  0.6784  3 Pa 2.48
F  0.8928  0.8928  0.3216  3 Pa 2.48
Cd  0.0000  0.0000  0.0000  2 F 3.01, 6 Cd 3.16
Pa  0.5000  0.5000  0.5000  6 F 2.48


No. 19
Computed, not measured: a relaxed Ba2NaCaSe crystal at the PBE-GGA level of DFT.

Computed properties:
- VASP energy (Ry/atom) = -0.206
- total magnetic moment (μB per cell) = 0.0

a b c (Å): 6.5405 6.5405 5.6725
angles (deg): 90.00 90.00 90.00
Last column: nearest neighbours and their distance in Å.
Atoms (fractional coordinates):
Ba  0.0000  0.5000  0.0000  2 Se 3.27
Ba  0.5000  0.0000  0.0000  2 Se 3.27
Na  0.5000  0.5000  0.5000  8 Ba 4.33, 4 Ca 4.62
Ca  0.0000  0.0000  0.5000  2 Se 2.84
Se  0.0000  0.0000  0.0000  2 Ca 2.84


No. 20
Computed, not measured: a relaxed SmGa5CuNi2 crystal at the PBE-GGA level of DFT.

Computed properties:
- calculated formation energy (eV per atom) = -0.1847
- total magnetic moment (μB per cell) = 0.0

a b c (Å): 4.2283 4.2283 9.3831
angles (deg): 90.00 90.00 90.00
Last column: nearest neighbours and their distance in Å.
Atoms (fractional coordinates):
Ga  0.5000  0.0000  0.1564  2 Ni 2.35, 2 Cu 2.57
Ga  0.5000  0.5000  0.5000  2 Ni 2.19
Ga  0.0000  0.5000  0.1564  2 Ni 2.35, 2 Cu 2.57
Ga  0.0000  0.5000  0.8436  2 Ni 2.35, 2 Cu 2.57
Ga  0.5000  0.0000  0.8436  2 Ni 2.35, 2 Cu 2.57
Cu  0.0000  0.0000  0.0000  8 Ga 2.57
Ni  0.5000  0.5000  0.7335  5 Ga 2.19-2.35
Ni  0.5000  0.5000  0.2665  5 Ga 2.19-2.35
Sm  0.0000  0.0000  0.5000  4 Ga 2.99